No. 1
TiBe2B (PBE-GGA, optimized geometry); DFT formation energy = -14 kJ/mol of atoms; calculated density = 3.4 Mg/m³; E = -5.656 eV/atom; symmetry = P4/mmm
1.0
3.294 0.000 0.000
0.000 3.294 0.000
0.000 0.000 3.502
Ti Be B
1 2 1
direct
0.000 0.000 0.000
0.000 0.500 0.500
0.500 0.000 0.500
0.500 0.500 0.000



No. 2
Al2GaNi2 (PBE-GGA, optimized geometry); DFT formation energy = -16 kJ/mol of atoms; calculated density = 5.4 Mg/m³; E = -4.580 eV/atom; symmetry = I4/mmm
1.0
3.630 0.000 0.000
0.000 3.630 0.000
0.000 0.000 11.181
Al Ga Ni
4 2 4
direct
0.000 0.500 0.250
0.000 0.500 0.750
0.500 0.000 0.250
0.500 0.000 0.750
0.000 0.000 0.000
0.500 0.500 0.500
0.000 0.000 0.393
0.000 0.000 0.607
0.500 0.500 0.107
0.500 0.500 0.893



No. 3
NaZnAsF (PBE-GGA, optimized geometry); calculated density = 4.2 Mg/m³; E = -3.485 eV/atom; relative energy among the computed polymorphs = 21 meV per atom; symmetry = Amm2; ΔE_f (raw) = -1.21 eV/atom
1.0
3.650 0.000 0.000
0.000 3.105 0.000
0.000 0.000 12.680
Na Zn As F
2 2 2 2
direct
0.000 0.000 0.000
0.000 0.500 0.500
0.500 0.000 0.702
0.500 0.500 0.202
0.000 0.000 0.278
0.000 0.500 0.778
0.500 0.000 0.540
0.500 0.500 0.040



No. 4
K2TlInPt (PBE-GGA, optimized geometry); DFT formation energy = 8 kJ/mol of atoms; calculated density = 5.0 Mg/m³; E = -2.585 eV/atom; symmetry = P4/mmm
1.0
6.139 0.000 0.000
0.000 6.139 0.000
0.000 0.000 5.265
K Tl In Pt
2 1 1 1
direct
0.000 0.500 0.000
0.500 0.000 0.000
0.000 0.000 0.500
0.500 0.500 0.500
0.000 0.000 0.000